1.
A geometry-optimized Li2Fe3CuO8 structure, computed with GGA-PBEsol.

Geometry as extended XYZ:
```
14
Lattice="5.541 0.091 -0.011 -2.680 4.851 0.011 -2.753 -1.705 4.789" Properties=species:S:1:pos:R:3 pbc="T T T"
Li 0.054 1.618 2.395
Li -1.377 -0.853 2.395
Fe -1.340 2.425 0.005
Fe 2.770 0.046 -0.005
Fe 1.431 2.471 0.000
Cu 0.000 0.000 0.000
O -4.036 2.337 3.791
O -1.349 2.336 3.792
O -2.697 0.007 3.792
O 0.053 -0.031 3.763
O 0.055 3.267 1.026
O 2.805 3.229 0.997
O 1.457 0.901 0.997
O 4.144 0.900 0.998
```

Properties
crystal system = monoclinic
spin magnetization = 4.408 Bohr magnetons per cell
total energy = -95.09 eV/cell

=====

2.
A geometry-optimized Li4Fe5Cu3O16 structure, computed with GGA-PBEsol.

Geometry as extended XYZ:
```
28
Lattice="-4.308 0.146 -3.478 1.129 -4.916 2.805 -5.298 3.308 6.702" Properties=species:S:1:pos:R:3 pbc="T T T"
O -5.042 -2.064 4.081
O -2.824 -3.346 3.357
O -1.263 -2.730 1.450
O -1.590 0.865 2.005
O -4.264 2.576 5.390
O -3.012 -2.133 5.720
O -3.317 -1.137 2.187
O -1.486 -1.199 3.665
O -3.261 -2.982 -0.496
O -3.562 0.482 4.432
O -8.068 0.669 3.634
O -6.136 0.603 5.194
O -5.676 0.549 2.643
O -3.924 -0.611 -1.713
O -6.675 2.639 3.968
O -1.836 -0.682 -0.027
Fe -3.242 -1.650 3.947
Fe -1.507 -0.974 1.825
Fe -7.753 1.644 5.262
Fe -7.140 1.646 2.391
Fe -5.077 1.576 4.056
Cu -3.014 -3.301 1.403
Cu -0.873 -3.373 3.132
Cu -6.587 -0.782 3.716
Li -5.444 -0.286 6.732
Li -5.295 3.176 6.692
Li -5.759 -3.091 2.594
Li -4.568 -0.092 1.244
```

Properties
crystal system = monoclinic
spin magnetization = 11.163 Bohr magnetons per cell
total energy = -184.74 eV/cell

=====

3.
A geometry-optimized Li2FeCuO4 structure, computed with GGA-PBEsol.

Geometry as extended XYZ:
```
8
Lattice="-0.395 0.025 2.718 -3.949 -3.830 -0.539 4.858 -1.574 0.721" Properties=species:S:1:pos:R:3 pbc="T T T"
O 2.870 -2.013 0.436
O 0.047 -3.994 1.431
O -1.961 -3.391 -0.254
O 0.467 -1.385 1.469
Fe 2.231 -0.775 1.720
Cu 0.455 -2.702 0.091
Li 0.000 0.000 0.000
Li -2.172 -1.903 1.090
```

Properties
crystal system = monoclinic
spin magnetization = 1.278 Bohr magnetons per cell
total energy = -49.52 eV/cell

=====

4.
A geometry-optimized Li3FeCu2O6 structure, computed with GGA-PBEsol.

Geometry as extended XYZ:
```
12
Lattice="2.735 0.000 0.000 0.000 5.510 -0.052 -1.367 -1.512 7.216" Properties=species:S:1:pos:R:3 pbc="T T T"
Li 1.367 2.755 -0.026
Li 0.000 4.175 2.100
Li 1.367 -0.177 5.064
Fe 1.367 0.000 0.000
Cu 0.000 1.510 2.289
Cu 1.367 2.488 4.875
O 1.367 0.236 1.890
O 0.000 1.213 4.757
O 0.000 3.762 5.275
O 0.000 4.247 0.132
O 1.367 -0.249 7.032
O 1.367 2.785 2.407
```

Properties
crystal system = monoclinic
spin magnetization = 1.026 Bohr magnetons per cell
total energy = -70.60 eV/cell

=====

5.
A geometry-optimized Li2FeCuO4 structure, computed with GGA-PBEsol.

Geometry as extended XYZ:
```
16
Lattice="-2.868 1.313 -5.056 1.122 -5.522 1.940 -5.873 -0.564 -0.836" Properties=species:S:1:pos:R:3 pbc="T T T"
Li 0.561 -2.761 0.970
Li -4.371 0.375 -2.946
Li -3.810 -2.386 -1.976
Li -2.376 -3.043 0.552
Fe -1.434 0.657 -2.528
Fe -2.937 -0.282 -0.418
Cu -0.873 -2.104 -1.558
Cu 0.000 0.000 0.000
O -6.854 -0.504 -5.105
O -6.201 -3.482 -4.046
O -4.913 -4.052 -1.705
O -1.729 -3.794 -1.241
O -5.891 -0.979 -2.711
O -2.706 -0.720 -2.248
O -1.419 -1.290 0.093
O -0.765 -4.269 1.153
```

Properties
crystal system = orthorhombic
spin magnetization = 2.058 Bohr magnetons per cell
total energy = -98.90 eV/cell

=====

6.
A geometry-optimized Li2Fe3CuO8 structure, computed with GGA-PBEsol.

Geometry as extended XYZ:
```
56
Lattice="-0.628 -2.035 -7.747 0.549 -7.763 1.995 -7.991 -0.374 0.746" Properties=species:S:1:pos:R:3 pbc="T T T"
Li -7.189 -4.520 -3.424
Li -2.277 -3.626 -5.170
Li -5.996 -7.558 -3.720
Li -3.217 -6.764 -5.266
Li -0.996 -1.255 -0.618
Li -6.076 -2.693 -0.941
Li -1.790 -6.467 -0.182
Li -4.736 -7.805 -0.704
Fe -5.258 -2.480 -4.183
Fe -2.853 -8.263 -2.800
Fe -1.034 -6.203 -3.427
Fe -5.341 -4.892 -5.640
Fe -7.427 -3.015 -5.903
Fe -0.999 -8.610 -4.895
Fe -2.937 -3.327 0.018
Fe -4.784 -5.278 0.739
Fe -6.594 -7.309 1.480
Fe -3.170 -1.939 -2.425
Fe -1.075 -3.787 -2.048
Fe -6.945 -5.927 -0.952
Cu -8.209 -1.447 -3.034
Cu -3.375 -7.886 2.258
Cu -0.436 -5.818 -6.682
Cu -4.119 -5.192 -2.555
O -7.179 -6.441 -2.679
O -1.203 -4.428 -3.780
O -3.366 -2.328 -4.275
O -4.655 -8.455 -2.658
O -2.888 -6.477 -3.235
O -0.960 -8.082 -3.052
O -7.094 -2.559 -4.105
O -5.173 -4.340 -3.894
O -1.141 -6.753 -5.179
O -2.817 -8.702 -4.632
O -5.512 -3.017 -6.006
O -7.215 -4.793 -5.484
O -1.243 -2.618 -6.453
O -7.107 -8.959 -4.409
O -5.276 -6.672 -5.278
O -3.523 -4.856 -5.984
O -0.420 -6.979 1.080
O -6.959 -1.272 0.024
O -4.814 -3.430 0.298
O -2.990 -5.114 0.495
O -4.744 -7.049 1.232
O -6.684 -5.484 0.896
O -1.115 -3.294 -0.231
O -3.051 -1.561 -0.629
O -6.774 -7.690 -0.310
O -5.113 -5.789 -1.045
O -2.982 -3.759 -1.850
O -1.291 -2.024 -2.526
O -7.250 -4.157 -1.396
O -0.852 -5.627 -1.625
O -2.701 -7.972 -0.979
O -5.016 -2.067 -2.429
```

Properties
crystal system = cubic
spin magnetization = 28.004 Bohr magnetons per cell
total energy = -386.08 eV/cell